The following is a PBE calculation of a relaxed CeGa4Ag8 crystal, from the Alexandria database.

a = 9.472 Å, b = 9.472 Å, c = 5.368 Å
α = 90.00°, β = 90.00°, γ = 90.00°
Space group I4/mmm (No. 139)
Asymmetric unit:
Ce 0.000 0.000 0.000 [2 per cell]
Ga 0.250 0.250 0.250 [8 per cell]
Ag 0.000 0.217 0.500 [8 per cell]
Ag 0.000 0.349 0.000 [8 per cell]

Computed properties:
D(E_F) = 11.94 states/eV/f.u.
ΔE_f = -0.116 eV per atom
VASP energy = -42.4 eV per formula unit